PuPaNi2As2 | PBE-GGA | optimized geometry

Calculated values
Calculated total energy: -8.278 eV per atom
Symmetry: P-3m1 (164)
ΔE_f: -0.83 eV per atom

Cell: 4.032 4.032 7.944 Å, 90.00 90.00 120.00°
Sites, in units of the cell vectors:
Pu1 0.000 0.000 0.000
Pa1 0.000 0.000 0.500
Ni1 0.333 0.667 0.710
Ni2 0.667 0.333 0.290
As1 0.333 0.667 0.240
As2 0.667 0.333 0.760